This record from Alexandria via LeMat-Bulk describes a relaxed Sr2MnAl2S6 crystal. The functional is PBE. Values from VASP.

Results
formation energy from raw total energies = -12.0 eV per formula unit
size of the total moment = 5.000 μB/f.u.
V = 25.88 Å³/atom

Cell and atoms, written as Quantum ESPRESSO input:
```
&SYSTEM
  ibrav = 0, nat = 11, ntyp = 4
/
ATOMIC_SPECIES
Sr 87.62 Sr.upf
Mn 54.94 Mn.upf
Al 26.98 Al.upf
S 32.06 S.upf
CELL_PARAMETERS angstrom
3.484 2.012 6.771
-3.484 2.012 6.771
0.000 -4.023 6.771
ATOMIC_POSITIONS crystal
Sr 0.206 0.206 0.206
Sr 0.794 0.794 0.794
Mn 0.000 0.000 0.000
Al 0.419 0.419 0.419
Al 0.581 0.581 0.581
S 0.223 0.759 0.759
S 0.241 0.241 0.777
S 0.241 0.777 0.241
S 0.759 0.223 0.759
S 0.759 0.759 0.223
S 0.777 0.241 0.241
```